VASP calculation (GGA-PBEsol) on crystalline TlInPb2 at its relaxed geometry.

Summary:
Raw total energy ... -3.40 eV/atom
Symmetry ... P4/mmm (123)
ΔH_f (0 K) ... 0.01 eV/atom
Magnetic moment ... 0.000 μB/atom
ΔE to the lowest computed polymorph ... 5 meV per atom

abc: 3.458 3.458 9.417
angles: 90.00 90.00 90.00
Positions (direct):
Tl (0.000, 0.000, 0.000)
In (0.000, 0.000, 0.500)
Pb (0.500, 0.500, 0.257)
Pb (0.500, 0.500, 0.743)